1.
Hf2TiO | PBE | optimized geometry

Computed properties:
- raw total energy (eV per cell) = -144.2
- E_form (uncorrected) (eV/f.u.) = -3.30

Cell: 6.4055 6.4055 7.5255 Å, 90.00 90.00 90.00°
Space group I-42d (No. 122)
Inequivalent atoms, fractional coordinates:
Hf  0.1342  0.2500  0.1250 x8
Ti  0.0000  0.0000  0.5000 x4
O  0.0000  0.0000  0.0000 x4



2.
Pm3Co2 | PBE | optimized geometry

Computed properties:
- distance to the lowest polymorph of the same formula (kJ per mole of atoms) = 0.0
- DFT formation energy (eV per atom) = -0.054
- raw total energy (eV per cell) = -57.5

Cell: 3.8829 6.2817 9.7775 Å, 90.00 90.00 90.00°
Space group Immm (No. 71)
Inequivalent atoms, fractional coordinates:
Pm  0.0000  0.0000  0.0000 x2
Pm  0.0000  0.5000  0.1915 x4
Co  0.0000  0.1803  0.5000 x4



3.
KSrY | PBE | optimized geometry

Computed properties:
- distance to the lowest polymorph of the same formula (kJ per mole of atoms) = 0.3
- DFT formation energy (eV per atom) = 0.308
- raw total energy (eV per cell) = -8.3

Cell: 3.9525 3.9525 10.4996 Å, 90.00 90.00 120.00°
Space group P3m1 (No. 156)
Inequivalent atoms, fractional coordinates:
K  0.0000  0.0000  0.0000 x1
Sr  0.3333  0.6667  0.3748 x1
Y  0.6667  0.3333  0.6652 x1



4.
Ba2ThNpSe6 | PBE | optimized geometry

Computed properties:
- raw total energy (eV per cell) = -123.8
- E_form (uncorrected) (eV/f.u.) = -16.80

Cell: 7.5495 7.9871 13.2902 Å, 90.00 124.44 90.00°
Space group P2_1/c (No. 14)
Inequivalent atoms, fractional coordinates:
Ba  0.2264  0.0737  0.2497 x4
Th  0.5000  0.0000  0.0000 x2
Np  0.0000  0.0000  0.5000 x2
Se  0.1402  0.2022  0.9487 x4
Se  0.2491  0.6964  0.9485 x4
Se  0.3438  0.0251  0.7463 x4



5.
Co2RePt | PBE | optimized geometry

Computed properties:
- distance to the lowest polymorph of the same formula (kJ per mole of atoms) = 14.8
- DFT formation energy (eV per atom) = 0.142
- raw total energy (eV per cell) = -128.5

Cell: 5.9187 5.9187 5.9187 Å, 90.00 90.00 90.00°
Space group Fm-3m (No. 225)
Inequivalent atoms, fractional coordinates:
Co  0.2500  0.2500  0.2500 x8
Re  0.0000  0.0000  0.0000 x4
Pt  0.0000  0.0000  0.5000 x4



6.
Tl2CdHg5 | PBE | optimized geometry

Computed properties:
- distance to the lowest polymorph of the same formula (kJ per mole of atoms) = 0.0
- DFT formation energy (eV per atom) = -0.007
- raw total energy (eV per cell) = -14.4

Cell: 11.4855 6.7962 6.7625 Å, 90.00 122.62 90.00°
Space group Cm (No. 8)
Inequivalent atoms, fractional coordinates:
Tl  0.0000  0.0000  0.0000 x2
Tl  0.0025  0.5000  0.5088 x2
Cd  0.0016  0.5000  0.0069 x2
Hg  0.0015  0.0000  0.5017 x2
Hg  0.2506  0.2500  0.5017 x4
Hg  0.2519  0.2490  0.0046 x4



7.
NaSrPmGe | PBE | optimized geometry

Computed properties:
- DFT formation energy (eV per atom) = -0.201
- raw total energy (eV per cell) = -52.7

Cell: 7.7024 7.7024 7.7024 Å, 90.00 90.00 90.00°
Space group F-43m (No. 216)
Inequivalent atoms, fractional coordinates:
Na  0.0000  0.0000  0.0000 x4
Sr  0.2500  0.2500  0.7500 x4
Pm  0.2500  0.2500  0.2500 x4
Ge  0.0000  0.0000  0.5000 x4



8.
Dy4AsC | PBE | optimized geometry

Computed properties:
- DFT formation energy (eV per atom) = -0.554
- raw total energy (eV per cell) = -142.4

Cell: 7.8310 14.6415 6.4396 Å, 90.00 123.77 90.00°
Space group C2/c (No. 15)
Inequivalent atoms, fractional coordinates:
Dy  0.1867  0.1896  0.2074 x8
Dy  0.2215  0.0547  0.7151 x8
As  0.0000  0.4167  0.7500 x4
C  0.0000  0.0645  0.2500 x4



9.
BaTl2Re | PBE | optimized geometry

Computed properties:
- distance to the lowest polymorph of the same formula (kJ per mole of atoms) = 39.5
- DFT formation energy (eV per atom) = 0.989
- raw total energy (eV per cell) = -60.6

Cell: 7.7173 7.7173 7.7173 Å, 90.00 90.00 90.00°
Space group F-43m (No. 216)
Inequivalent atoms, fractional coordinates:
Ba  0.0000  0.0000  0.0000 x4
Tl  0.0000  0.0000  0.5000 x4
Tl  0.2500  0.2500  0.7500 x4
Re  0.2500  0.2500  0.2500 x4



10.
BeHIr2 | PBE | optimized geometry

Computed properties:
- distance to the lowest polymorph of the same formula (kJ per mole of atoms) = 2.6
- raw total energy (eV per cell) = -98.1

Cell: 5.6985 5.6985 5.1309 Å, 90.00 90.00 90.00°
Space group I-42d (No. 122)
Inequivalent atoms, fractional coordinates:
Be  0.0000  0.0000  0.0000 x4
H  0.0000  0.0000  0.5000 x4
Ir  0.1758  0.7500  0.6250 x8



11.
Tb2GaAu6 | PBE | optimized geometry

Computed properties:
- DFT formation energy (eV per atom) = -0.609
- raw total energy (eV per cell) = -74.9

Cell: 11.0237 6.3496 5.3441 Å, 90.00 90.09 90.00°
Space group C2/m (No. 12)
Inequivalent atoms, fractional coordinates:
Tb  0.1664  0.0000  0.1820 x4
Ga  0.0000  0.5000  0.0000 x2
Au  0.0916  0.2259  0.6947 x8
Au  0.1832  0.5000  0.3047 x4



12.
BeIn2Cl5 | PBE | optimized geometry

Computed properties:
- raw total energy (eV per cell) = -52.8
- E_form (uncorrected) (eV/f.u.) = -7.98

Cell: 11.8495 7.1751 7.1938 Å, 90.00 121.49 90.00°
Space group Cm (No. 8)
Inequivalent atoms, fractional coordinates:
Be  0.0000  0.0000  0.0000 x2
In  0.2630  0.5000  0.1620 x2
In  0.4790  0.0000  0.7567 x2
Cl  0.1231  0.0000  0.9103 x2
Cl  0.3273  0.2487  0.4653 x4
Cl  0.4293  0.2742  0.0540 x4